DFT (PBE-GGA) results for a relaxed ZrCuAgAu crystal.

Calculated values
Space group: F-43m
Fermi-level density of states in states/eV per cell: 4.165
E_tot in eV/atom: -4.889
Spin magnetization in μB per cell: 0.00
Energy relative to the elements in eV/atom: -0.1953

a = 4.6395 Å, b = 4.6395 Å, c = 4.6395 Å
α = 60.00°, β = 60.00°, γ = 60.00°
With the nearest neighbours (Å) after each atom.
Positions (direct):
Cu1 0.2500 0.2500 0.2500  4 Zr 2.84, 4 Ag 2.84
Zr1 0.0000 0.0000 0.0000  4 Cu 2.84, 4 Au 2.84
Au1 0.7500 0.7500 0.7500  4 Zr 2.84, 4 Ag 2.84
Ag1 0.5000 0.5000 0.5000  4 Au 2.84, 4 Cu 2.84